A geometry-optimized Lu2Ga3Ni14 structure, computed with PBEsol.

Geometry as POSCAR:
```
Lu2Ga3Ni14
1.0
8.2019 0.0000 0.0000
-4.1009 7.1030 0.0000
0.0000 0.0000 7.9728
Lu Ga Ni
4 6 28
direct
0.0000 0.0000 0.2500 Lu
0.0000 0.0000 0.7500 Lu
0.3333 0.6667 0.2500 Lu
0.6667 0.3333 0.7500 Lu
0.0000 0.5000 0.0000 Ga
0.0000 0.5000 0.5000 Ga
0.5000 0.0000 0.0000 Ga
0.5000 0.0000 0.5000 Ga
0.5000 0.5000 0.0000 Ga
0.5000 0.5000 0.5000 Ga
0.0387 0.3627 0.7500 Ni
0.0387 0.6760 0.7500 Ni
0.1650 0.3301 0.0238 Ni
0.1650 0.3301 0.4762 Ni
0.1650 0.8350 0.0238 Ni
0.1650 0.8350 0.4762 Ni
0.3240 0.3627 0.7500 Ni
0.3240 0.9613 0.7500 Ni
0.3301 0.1650 0.5238 Ni
0.3301 0.1650 0.9762 Ni
0.3333 0.6667 0.6030 Ni
0.3333 0.6667 0.8970 Ni
0.3627 0.0387 0.2500 Ni
0.3627 0.3240 0.2500 Ni
0.6373 0.6760 0.7500 Ni
0.6373 0.9613 0.7500 Ni
0.6667 0.3333 0.1030 Ni
0.6667 0.3333 0.3970 Ni
0.6699 0.8350 0.0238 Ni
0.6699 0.8350 0.4762 Ni
0.6760 0.0387 0.2500 Ni
0.6760 0.6373 0.2500 Ni
0.8350 0.1650 0.5238 Ni
0.8350 0.1650 0.9762 Ni
0.8350 0.6699 0.5238 Ni
0.8350 0.6699 0.9762 Ni
0.9613 0.3240 0.2500 Ni
0.9613 0.6373 0.2500 Ni
```

Properties
As for the density: 9.9 g/cm³. The value obtained for the total energy is -5.96 eV per atom. The space-group type is No. 194. The formation energy is -36.8 kJ/mol of atoms.